The following is a PBE calculation of an optimized crystal structure of Tb3Bi2Ru, from Alexandria via LeMat-Bulk.

The final energy is -5.489 eV per atom.

The structure belongs to space group Cmmm (No. 65); the cell edges are 6.1016, 16.5381 and 3.5412 Å and the angles 90.00°, 90.00° and 90.00°. Symmetry generates all atoms from Tb at (0.0000, 0.0000, 0.0000), Tb at (0.0000, 0.3747, 0.5000), Bi at (0.0000, 0.1715, 0.5000) and Ru at (0.0000, 0.5000, 0.0000).

***

The following is a PBE calculation of an optimized crystal structure of Li3Al2, from Alexandria via LeMat-Bulk.

The final energy is -2.687 eV per atom.

The structure belongs to space group P-3m1 (No. 164); the cell edges are 4.4612, 4.4612 and 5.5741 Å and the angles 90.00°, 90.00° and 120.00°. Symmetry generates all atoms from Li at (0.0000, 0.0000, 0.0000), Li at (0.3333, 0.6667, 0.3724) and Al at (0.3333, 0.6667, 0.8907).

***

Asked for energy of formation from the pure elements across the records above, the calculation gives -0.3341, -0.0414 eV/atom in order.